(1)
This record from the Alexandria database describes a geometry-optimized TbPrHo2As4 structure. The functional is PBE.

a = 7.208 Å, b = 4.166 Å, c = 7.211 Å
α = 90.00°, β = 109.48°, γ = 90.00°
Positions (direct):
Tb (0.000, 0.000, 0.000)
Pr (0.000, 0.500, 0.500)
Ho (0.500, 0.000, 0.500)
Ho (0.500, 0.500, 0.000)
As (0.256, 0.500, 0.247)
As (0.259, 0.000, 0.758)
As (0.741, 0.000, 0.242)
As (0.744, 0.500, 0.753)

ΔH_f (0 K)   -12.12 eV/f.u.
Total energy   -6.160 eV/atom



(2)
This record from the Alexandria database describes a geometry-optimized Tb3PrHo2As6 structure. The functional is PBE.

a = 7.197 Å, b = 7.197 Å, c = 7.199 Å
α = 99.59°, β = 99.59°, γ = 120.00°
Positions (direct):
Tb (0.000, 0.000, 0.000)
Tb (0.335, 0.665, 0.000)
Tb (0.665, 0.335, 0.000)
Pr (0.500, 0.500, 0.500)
Ho (0.167, 0.833, 0.500)
Ho (0.833, 0.167, 0.500)
As (0.076, 0.416, 0.248)
As (0.243, 0.243, 0.751)
As (0.416, 0.076, 0.248)
As (0.584, 0.924, 0.752)
As (0.757, 0.757, 0.249)
As (0.924, 0.584, 0.752)

ΔH_f (0 K)   -18.26 eV/f.u.
Total energy   -6.165 eV/atom



(3)
This record from the Alexandria database describes a geometry-optimized Pr2HoThAs4 structure. The functional is PBE.

a = 7.331 Å, b = 4.249 Å, c = 7.367 Å
α = 90.00°, β = 109.43°, γ = 90.00°
Positions (direct):
Pr (0.000, 0.000, 0.000)
Pr (0.500, 0.500, 0.000)
Ho (0.000, 0.500, 0.500)
Th (0.500, 0.000, 0.500)
As (0.243, 0.000, 0.739)
As (0.249, 0.500, 0.258)
As (0.751, 0.500, 0.742)
As (0.757, 0.000, 0.261)

ΔH_f (0 K)   -12.00 eV/f.u.
Total energy   -6.519 eV/atom



(4)
This record from the Alexandria database describes a geometry-optimized Pr2HoTh3As6 structure. The functional is PBE.

a = 9.496 Å, b = 9.496 Å, c = 8.480 Å
α = 102.77°, β = 102.77°, γ = 25.88°
Positions (direct):
Pr (0.166, 0.166, 0.333)
Pr (0.834, 0.834, 0.667)
Ho (0.500, 0.500, 0.000)
Th (0.167, 0.167, 0.834)
Th (0.500, 0.500, 0.500)
Th (0.833, 0.833, 0.166)
As (0.002, 0.002, 0.756)
As (0.335, 0.335, 0.414)
As (0.336, 0.336, 0.922)
As (0.664, 0.664, 0.078)
As (0.665, 0.665, 0.586)
As (0.998, 0.998, 0.244)

ΔH_f (0 K)   -17.54 eV/f.u.
Total energy   -6.819 eV/atom